VASP calculation (PBEsol) on ZrCrTc after structural relaxation.

Properties
Calculated volume = 53.4 Å³ per cell
Offset from the most stable computed form = 0.0 kJ per mole of atoms
Formation energy from the elements = 0.61 eV/atom
Final energy = -9.59 eV per atom

a b c (Å): 4.2261 4.2261 4.2261
angles (deg): 60.00 60.00 60.00
Fractional positions:
1 Zr 0.0000 0.0000 0.0000
2 Cr 0.5000 0.5000 0.5000
3 Tc 0.2500 0.2500 0.2500

VASP calculation (PBEsol) on In2Hg after structural relaxation.

Properties
Calculated volume = 80.9 Å³ per cell
Offset from the most stable computed form = 7.6 kJ per mole of atoms
Formation energy from the elements = 0.06 eV/atom
Final energy = -2.11 eV per atom

a b c (Å): 4.4143 4.4143 4.1520
angles (deg): 90.00 90.00 90.00
Fractional positions:
1 In 0.0000 0.5000 0.0000
2 In 0.5000 0.0000 0.0000
3 Hg 0.0000 0.0000 0.5000

VASP calculation (PBEsol) on Li3CrO4 after structural relaxation.

Properties
Calculated volume = 259.7 Å³ per cell
Offset from the most stable computed form = 4.9 kJ per mole of atoms
Final energy = -6.64 eV per atom

a b c (Å): 5.6752 5.6752 8.0628
angles (deg): 90.00 90.00 90.00
Fractional positions:
1 Li 0.0000 0.2386 0.0000
2 Li 0.0000 0.2554 0.5000
3 Li 0.0000 0.7446 0.0000
4 Li 0.0000 0.7614 0.5000
5 Li 0.2386 0.0000 0.7500
6 Li 0.2524 0.5000 0.7500
7 Li 0.2554 0.0000 0.2500
8 Li 0.5000 0.2524 0.0000
9 Li 0.5000 0.7476 0.5000
10 Li 0.7446 0.0000 0.7500
11 Li 0.7476 0.5000 0.2500
12 Li 0.7614 0.0000 0.2500
13 Cr 0.2236 0.5000 0.2500
14 Cr 0.5000 0.2236 0.5000
15 Cr 0.5000 0.7764 0.0000
16 Cr 0.7764 0.5000 0.7500
17 O 0.0227 0.2678 0.2436
18 O 0.0227 0.7322 0.2564
19 O 0.2675 0.4916 0.4792
20 O 0.2675 0.5084 0.0208
21 O 0.2678 0.0227 0.5064
22 O 0.2678 0.9773 0.9936
23 O 0.4916 0.2675 0.2708
24 O 0.4916 0.7325 0.2292
25 O 0.5084 0.2675 0.7292
26 O 0.5084 0.7325 0.7708
27 O 0.7322 0.0227 0.4936
28 O 0.7322 0.9773 0.0064
29 O 0.7325 0.4916 0.5208
30 O 0.7325 0.5084 0.9792
31 O 0.9773 0.2678 0.7564
32 O 0.9773 0.7322 0.7436

VASP calculation (PBEsol) on Rb3MgO after structural relaxation.

Properties
Calculated volume = 184.6 Å³ per cell
Final energy = -2.36 eV per atom

a b c (Å): 5.6944 5.6944 5.6944
angles (deg): 90.00 90.00 90.00
Fractional positions:
1 Rb 0.0000 0.0000 0.5000
2 Rb 0.0000 0.5000 0.0000
3 Rb 0.5000 0.0000 0.0000
4 Mg 0.5000 0.5000 0.5000
5 O 0.0000 0.0000 0.0000

VASP calculation (PBEsol) on BaAu2 after structural relaxation.

Properties
Calculated volume = 82.3 Å³ per cell
Formation energy from the elements = -0.66 eV/atom
Final energy = -3.99 eV per atom

a b c (Å): 4.7737 4.7737 4.1697
angles (deg): 90.00 90.00 120.00
Fractional positions:
1 Ba 0.0000 0.0000 0.0000
2 Au 0.3333 0.6667 0.5000
3 Au 0.6667 0.3333 0.5000

VASP calculation (PBEsol) on Ca2TcRh after structural relaxation.

Properties
Calculated volume = 77.0 Å³ per cell
Offset from the most stable computed form = 23.5 kJ per mole of atoms
Formation energy from the elements = 0.53 eV/atom
Final energy = -5.39 eV per atom

a b c (Å): 5.2743 5.2743 5.2743
angles (deg): 133.01 133.01 68.64
Fractional positions:
1 Ca 0.2500 0.7500 0.5000
2 Ca 0.7500 0.2500 0.5000
3 Tc 0.0000 0.0000 0.0000
4 Rh 0.5000 0.5000 0.0000

VASP calculation (PBEsol) on YBi2Pt2 after structural relaxation.

Properties
Calculated volume = 119.7 Å³ per cell
Formation energy from the elements = -0.38 eV/atom
Final energy = -6.24 eV per atom

a b c (Å): 7.0154 7.0154 7.0154
angles (deg): 143.81 143.81 52.11
Fractional positions:
1 Y 0.0000 0.0000 0.0000
2 Bi 0.2500 0.7500 0.5000
3 Bi 0.7500 0.2500 0.5000
4 Pt 0.3988 0.3988 0.0000
5 Pt 0.6012 0.6012 0.0000

VASP calculation (PBEsol) on Mg2CdAg after structural relaxation.

Properties
Calculated volume = 75.4 Å³ per cell
Offset from the most stable computed form = 6.7 kJ per mole of atoms
Formation energy from the elements = -0.12 eV/atom
Final energy = -2.10 eV per atom

a b c (Å): 4.7425 4.7425 4.7425
angles (deg): 60.00 60.00 60.00
Fractional positions:
1 Mg 0.0000 0.0000 0.0000
2 Mg 0.2500 0.2500 0.2500
3 Cd 0.5000 0.5000 0.5000
4 Ag 0.7500 0.7500 0.7500

For reference, M_tot by record: 0.00, 0.00, 4.00, 0.00, 0.00, 1.81, 0.00, 0.00 Bohr magnetons per cell.